No. 1
First-principles (GGA-PBEsol) data for a relaxed MnTl2FeBr crystal, as listed in Alexandria.

Cell lengths 4.316, 5.140, 5.140 Å; angles 90.00, 90.00, 90.00 degrees
Element x y z (fractional)
Tl (0.000, 0.000, 0.500)
Tl (0.000, 0.500, 0.000)
Mn (0.500, 0.000, 0.000)
Fe (0.000, 0.000, 0.000)
Br (0.500, 0.500, 0.500)

V in Å³ per atom: 22.81
Magnetic moment in Bohr magnetons per cell: 3.6
E in eV per atom: -4.74
Space-group type: P4/mmm
Formation energy (no corrections) in eV/f.u.: 2.155

No. 2
First-principles (GGA-PBEsol) data for a relaxed Hf3Ga3Pd2Pt crystal, as listed in Alexandria.

Cell lengths 6.872, 7.105, 7.105 Å; angles 120.00, 90.00, 90.00 degrees
Element x y z (fractional)
Hf (0.000, 0.253, 0.306)
Hf (0.000, 0.694, 0.947)
Hf (0.000, 0.053, 0.747)
Hf (0.500, 0.643, 0.923)
Hf (0.500, 0.279, 0.357)
Hf (0.500, 0.077, 0.721)
Ga (0.250, 0.400, 0.063)
Ga (0.250, 0.937, 0.337)
Ga (0.250, 0.663, 0.600)
Ga (0.750, 0.400, 0.063)
Ga (0.750, 0.937, 0.337)
Ga (0.750, 0.663, 0.600)
Pd (0.000, 0.667, 0.333)
Pd (0.500, 0.667, 0.333)
Pd (0.215, 0.333, 0.667)
Pd (0.785, 0.333, 0.667)
Pt (0.715, 0.000, 0.000)
Pt (0.285, 0.000, 0.000)

V in Å³ per atom: 16.69
Energy of formation from the pure elements in eV/atom: -0.857
Magnetic moment in Bohr magnetons per cell: 0.0
E in eV per atom: -7.57
Space-group type: P-6

No. 3
First-principles (GGA-PBEsol) data for a relaxed ZnGaSb2I crystal, as listed in Alexandria.

Cell lengths 5.261, 5.261, 5.563 Å; angles 90.00, 90.00, 90.00 degrees
Element x y z (fractional)
I (0.000, 0.000, 0.500)
Sb (0.000, 0.500, 0.000)
Sb (0.500, 0.000, 0.000)
Zn (0.500, 0.500, 0.500)
Ga (0.000, 0.000, 0.000)

V in Å³ per atom: 30.79
Magnetic moment in Bohr magnetons per cell: 0.0
E in eV per atom: -2.55
Space-group type: P4/mmm
Formation energy (no corrections) in eV/f.u.: 3.041

No. 4
First-principles (GGA-PBEsol) data for a relaxed TeRhW2 crystal, as listed in Alexandria.

Cell lengths 2.918, 3.182, 7.709 Å; angles 90.00, 95.41, 90.00 degrees
Element x y z (fractional)
Rh (0.094, 0.000, 0.458)
Te (0.277, 0.500, 0.750)
W (0.101, 0.000, 0.037)
W (0.528, 0.500, 0.255)

V in Å³ per atom: 17.82
Magnetic moment in Bohr magnetons per cell: 0.0
E in eV per atom: -9.48
Space-group type: Pm
Formation energy (no corrections) in eV/f.u.: 1.355

No. 5
First-principles (GGA-PBEsol) data for a relaxed CaHgW2 crystal, as listed in Alexandria.

Cell lengths 3.924, 3.924, 4.839 Å; angles 90.00, 90.00, 90.00 degrees
Element x y z (fractional)
Ca (0.500, 0.500, 0.500)
Hg (0.000, 0.000, 0.500)
W (0.000, 0.500, 0.000)
W (0.500, 0.000, 0.000)

V in Å³ per atom: 18.63
Energy of formation from the pure elements in eV/atom: 0.797
Magnetic moment in Bohr magnetons per cell: 0.0
E in eV per atom: -6.78
Space-group type: P4/mmm

No. 6
First-principles (GGA-PBEsol) data for a relaxed HgP2W crystal, as listed in Alexandria.

Cell lengths 2.836, 2.836, 9.745 Å; angles 90.00, 90.00, 109.11 degrees
Element x y z (fractional)
Hg (0.500, 0.500, 0.000)
P (0.000, 0.000, 0.314)
P (0.000, 0.000, 0.686)
W (0.500, 0.500, 0.500)

V in Å³ per atom: 18.52
Energy of formation from the pure elements in eV/atom: 0.245
Magnetic moment in Bohr magnetons per cell: 0.0
E in eV per atom: -6.24
Space-group type: Cmmm